Record 1
PBE-GGA LiTl12Pb3, optimized geometry; formation energy = -0.0040 eV/atom
1.0
5.032 0.000 0.000
0.000 5.032 0.000
0.000 0.000 18.889
Li Tl Pb
1 12 3
direct
0.000 0.000 0.000
0.500 0.500 0.000
0.500 0.500 0.244
0.500 0.500 0.500
0.500 0.500 0.756
0.500 0.000 0.117
0.500 0.000 0.374
0.500 0.000 0.626
0.500 0.000 0.883
0.000 0.500 0.117
0.000 0.500 0.374
0.000 0.500 0.626
0.000 0.500 0.883
0.000 0.000 0.240
0.000 0.000 0.500
0.000 0.000 0.760

Record 2
PBE-GGA ScCoS2, optimized geometry; formation energy (no corrections) = -0.86 eV per atom; distance to the lowest polymorph of the same formula = 0.1355 eV per atom
1.0
2.754 -1.358 6.794
5.771 -0.788 4.654
3.861 2.131 6.012
Sc S Co
1 2 1
direct
0.500 0.500 0.500
0.899 0.899 0.899
0.101 0.101 0.101
0.000 0.000 0.000

Record 3
PBE-GGA CeTcOs, optimized geometry; formation energy = 0.0141 eV/atom; distance to the lowest polymorph of the same formula = 0.1984 eV per atom
1.0
-1.322 -2.643 0.028
2.556 -1.270 0.767
-2.047 2.736 5.659
Os Tc Ce
1 1 1
direct
0.311 0.311 0.621
0.690 0.690 0.381
0.999 0.999 0.998

Record 4
PBE-GGA Pr12Sm6Al, optimized geometry; formation energy = 0.0791 eV/atom
1.0
8.644 0.618 0.740
-0.700 8.638 0.740
-0.700 -0.815 8.631
Pr Sm Al
12 6 1
direct
0.794 0.519 0.452
0.452 0.794 0.519
0.519 0.452 0.794
0.206 0.481 0.548
0.548 0.206 0.481
0.481 0.548 0.206
0.044 0.157 0.369
0.843 0.631 0.956
0.631 0.956 0.843
0.956 0.843 0.631
0.157 0.369 0.044
0.369 0.044 0.157
0.741 0.901 0.264
0.736 0.259 0.099
0.099 0.736 0.259
0.259 0.099 0.736
0.264 0.741 0.901
0.901 0.264 0.741
0.000 0.000 0.000

Respective Fermi-level density of states values: 8.16 2.66 4.15 32.65 states/eV/f.u..
Respective mass density values: 10.70 3.22 12.99 6.61 g/cm³.